Material: Tb2Er5In4
Method: DFT, PBE-GGA
State: optimized geometry

Total moment (μB per atom): 0.001
DFT total energy (eV per atom): -3.6923
Calculated density (Mg/m³): 7.7

Lattice parameters (Å, degrees): 14.517 14.517 14.517 166.37 151.15 32.03
Sites, in units of the cell vectors:
Tb (0.097, 0.097, 0.000)
Tb (0.903, 0.903, 0.000)
Er (0.000, 0.500, 0.500)
Er (0.056, 0.803, 0.253)
Er (0.450, 0.197, 0.253)
Er (0.550, 0.803, 0.747)
Er (0.944, 0.197, 0.747)
In (0.320, 0.000, 0.320)
In (0.383, 0.383, 0.000)
In (0.617, 0.617, 0.000)
In (0.680, 0.000, 0.680)


Material: ZnHg4Os
Method: DFT, PBE-GGA
State: optimized geometry

Total moment (μB per atom): 0.000
DFT total energy (eV per atom): -1.2441
Calculated density (Mg/m³): 13.8

Lattice parameters (Å, degrees): 5.644 5.644 5.644 60.00 60.00 60.00
Sites, in units of the cell vectors:
Zn (0.000, 0.000, 0.000)
Hg (0.126, 0.625, 0.625)
Hg (0.625, 0.126, 0.625)
Hg (0.625, 0.625, 0.126)
Hg (0.625, 0.625, 0.625)
Os (0.250, 0.250, 0.250)


Material: Ba3Pt
Method: DFT, PBE-GGA
State: optimized geometry

Total moment (μB per atom): 0.000
DFT total energy (eV per atom): -2.8386
Calculated density (Mg/m³): 6.3

Lattice parameters (Å, degrees): 6.760 6.760 6.760 115.80 115.80 115.80
Sites, in units of the cell vectors:
Ba (0.000, 0.500, 0.500)
Ba (0.500, 0.000, 0.500)
Ba (0.500, 0.500, 0.000)
Pt (0.000, 0.000, 0.000)


Material: MgZrI3
Method: DFT, PBE-GGA
State: optimized geometry

Total moment (μB per atom): 0.578
DFT total energy (eV per atom): -2.8608
Calculated density (Mg/m³): 4.6
ΔE to the lowest computed polymorph (meV/atom): 394

Lattice parameters (Å, degrees): 5.630 5.630 5.630 90.00 90.00 90.00
Sites, in units of the cell vectors:
Mg (0.000, 0.000, 0.000)
Zr (0.500, 0.500, 0.500)
I (0.000, 0.000, 0.500)
I (0.000, 0.500, 0.000)
I (0.500, 0.000, 0.000)


Material: Ac3LaGe2
Method: DFT, PBE-GGA
State: optimized geometry

Total moment (μB per atom): 0.001
DFT total energy (eV per atom): -4.9335
Calculated density (Mg/m³): 7.9
ΔE to the lowest computed polymorph (meV/atom): 0

Lattice parameters (Å, degrees): 9.363 9.363 9.363 150.38 150.01 42.66
Sites, in units of the cell vectors:
Ac (0.000, 0.000, 0.000)
Ac (0.183, 0.683, 0.500)
Ac (0.817, 0.317, 0.500)
La (0.500, 0.500, 0.000)
Ge (0.368, 0.868, 0.500)
Ge (0.632, 0.132, 0.500)


Material: Np6MnS12
Method: DFT, PBE-GGA
State: optimized geometry

Total moment (μB per atom): 1.316
DFT total energy (eV per atom): -8.4398
Calculated density (Mg/m³): 7.1

Lattice parameters (Å, degrees): 7.718 7.718 7.718 99.98 99.98 99.98
Sites, in units of the cell vectors:
Np (0.123, 0.632, 0.797)
Np (0.203, 0.877, 0.368)
Np (0.368, 0.203, 0.877)
Np (0.632, 0.797, 0.123)
Np (0.797, 0.123, 0.632)
Np (0.877, 0.368, 0.203)
Mn (0.500, 0.500, 0.500)
S (0.070, 0.324, 0.922)
S (0.078, 0.930, 0.676)
S (0.188, 0.541, 0.439)
S (0.324, 0.922, 0.070)
S (0.439, 0.188, 0.541)
S (0.459, 0.561, 0.812)
S (0.541, 0.439, 0.188)
S (0.561, 0.812, 0.459)
S (0.676, 0.078, 0.930)
S (0.812, 0.459, 0.561)
S (0.922, 0.070, 0.324)
S (0.930, 0.676, 0.078)


Material: KSe2Br
Method: DFT, PBE-GGA
State: optimized geometry

Total moment (μB per atom): 0.000
DFT total energy (eV per atom): -3.0719
Calculated density (Mg/m³): 2.9
ΔE to the lowest computed polymorph (meV/atom): 52

Lattice parameters (Å, degrees): 5.595 5.595 7.563 105.38 105.38 43.43
Sites, in units of the cell vectors:
K (0.000, 0.000, 0.000)
Se (0.023, 0.023, 0.488)
Se (0.406, 0.406, 0.375)
Br (0.687, 0.687, 0.888)


Material: KBe2Re
Method: DFT, PBE-GGA
State: optimized geometry

Total moment (μB per atom): 0.406
DFT total energy (eV per atom): -3.7223
Calculated density (Mg/m³): 6.3
ΔE to the lowest computed polymorph (meV/atom): 1065

Lattice parameters (Å, degrees): 4.489 4.489 4.489 60.00 60.00 60.00
Sites, in units of the cell vectors:
K (0.000, 0.000, 0.000)
Be (0.250, 0.250, 0.250)
Be (0.750, 0.750, 0.750)
Re (0.500, 0.500, 0.500)


Material: Na2LiCd
Method: DFT, PBE-GGA
State: optimized geometry

Total moment (μB per atom): 0.000
DFT total energy (eV per atom): -1.4036
Calculated density (Mg/m³): 2.6

Lattice parameters (Å, degrees): 4.601 4.601 4.923 90.00 90.00 90.00
Sites, in units of the cell vectors:
Na (0.000, 0.500, 0.000)
Na (0.500, 0.000, 0.000)
Li (0.000, 0.000, 0.500)
Cd (0.500, 0.500, 0.500)


Material: Nb2SeN
Method: DFT, PBE-GGA
State: optimized geometry

Total moment (μB per atom): 0.204
DFT total energy (eV per atom): -7.9224
Calculated density (Mg/m³): 8.2
ΔE to the lowest computed polymorph (meV/atom): 406

Lattice parameters (Å, degrees): 4.307 4.307 4.307 60.00 60.00 60.00
Sites, in units of the cell vectors:
Nb (0.250, 0.250, 0.250)
Nb (0.750, 0.750, 0.750)
Se (0.000, 0.000, 0.000)
N (0.500, 0.500, 0.500)


Material: InCuAg2Pt
Method: DFT, PBE-GGA
State: optimized geometry

Total moment (μB per atom): 0.000
DFT total energy (eV per atom): -3.2515
Calculated density (Mg/m³): 9.2

Lattice parameters (Å, degrees): 4.753 4.753 4.732 90.00 90.00 90.00
Sites, in units of the cell vectors:
In (0.000, 0.000, 0.000)
Cu (0.500, 0.500, 0.500)
Ag (0.000, 0.500, 0.500)
Ag (0.500, 0.000, 0.500)
Pt (0.500, 0.500, 0.000)


Material: CrIn4S6
Method: DFT, PBE-GGA
State: optimized geometry

Total moment (μB per atom): 0.182
DFT total energy (eV per atom): -4.5550
Calculated density (Mg/m³): 3.7

Lattice parameters (Å, degrees): 7.482 7.482 12.296 104.09 104.09 73.92
Sites, in units of the cell vectors:
Cr (0.230, 0.770, 0.500)
Cr (0.770, 0.230, 0.000)
In (0.015, 0.099, 0.752)
In (0.099, 0.015, 0.252)
In (0.160, 0.648, 0.951)
In (0.188, 0.312, 0.562)
In (0.312, 0.188, 0.062)
In (0.625, 0.784, 0.764)
In (0.648, 0.160, 0.451)
In (0.784, 0.625, 0.264)
S (0.026, 0.415, 0.727)
S (0.169, 0.702, 0.315)
S (0.293, 0.941, 0.882)
S (0.404, 0.980, 0.562)
S (0.409, 0.517, 0.567)
S (0.415, 0.026, 0.227)
S (0.517, 0.409, 0.067)
S (0.702, 0.169, 0.815)
S (0.869, 0.963, 0.064)
S (0.941, 0.293, 0.382)
S (0.963, 0.869, 0.564)
S (0.980, 0.404, 0.062)


- Look up the total moment of the ninth one.
  0.000 μB per atom